Here is crystalline Rb3MoF6 at its relaxed geometry from Alexandria. Energies are from PBE with a Hubbard U.

a = 6.549 Å, b = 6.787 Å, c = 11.382 Å
α = 90.00°, β = 124.95°, γ = 90.00°
Fractional coordinates of all 20 atoms:
Rb1 0.000 0.000 0.000
Rb2 0.000 0.500 0.500
Rb3 0.234 0.048 0.747
Rb4 0.234 0.452 0.247
Rb5 0.766 0.548 0.753
Rb6 0.766 0.952 0.253
Mo1 0.500 0.000 0.500
Mo2 0.500 0.500 0.000
F1 0.196 0.173 0.458
F2 0.196 0.327 0.958
F3 0.274 0.746 0.439
F4 0.274 0.754 0.939
F5 0.382 0.046 0.286
F6 0.382 0.454 0.786
F7 0.618 0.546 0.214
F8 0.618 0.954 0.714
F9 0.726 0.246 0.061
F10 0.726 0.254 0.561
F11 0.804 0.673 0.042
F12 0.804 0.827 0.542

Output
Fermi-level density of states = 0.00 states/eV/cell
Raw total energy = -4.8911 eV/atom
Space group = P2_1/c (14)
M_tot = 6.00 μB/cell